{"formula": "Ac2PbSe4", "functional": "PBE", "state": "optimized geometry", "lattice_angstrom": [[7.850, 0.000, 0.000], [0.000, 12.478, 0.000], [0.000, 0.000, 4.624]], "species": ["Ac", "Ac", "Ac", "Ac", "Pb", "Pb", "Se", "Se", "Se", "Se", "Se", "Se", "Se", "Se"], "frac_coords": [[0.094, 0.180, 0.000], [0.406, 0.680, 0.000], [0.594, 0.320, 0.000], [0.906, 0.820, 0.000], [0.000, 0.500, 0.500], [0.500, 0.000, 0.500], [0.142, 0.724, 0.500], [0.245, 0.952, 0.000], [0.255, 0.452, 0.000], [0.358, 0.224, 0.500], [0.642, 0.776, 0.500], [0.745, 0.548, 0.000], [0.755, 0.048, 0.000], [0.858, 0.276, 0.500]], "relative_energy_ev_per_atom": 0.055, "total_magnetization_mub_per_cell": 0.0, "e_form_raw_kj_per_mol_atoms": -150.1, "dft_energy_ha_per_atom": -0.1929}